(1)
# ZnGeN2

A relaxed ZnGeN2 crystal (PBE, Alexandria via LeMat-Bulk).

Fermi-level density of states = 0.0 states/eV/cell
formation energy from raw total energies = -16 kJ per mole of atoms
space group = I-42d, No. 122

Unit cell a=5.491 b=5.491 c=5.491 alpha=130.44 beta=130.44 gamma=72.70
Fractional positions:
1 Zn 0.000 0.000 0.000
2 Zn 0.750 0.250 0.500
3 Ge 0.250 0.750 0.500
4 Ge 0.500 0.500 0.000
5 N 0.157 0.625 0.032
6 N 0.375 0.407 0.532
7 N 0.593 0.125 0.968
8 N 0.875 0.843 0.468

(2)
# CsYHfO4

A relaxed CsYHfO4 crystal (PBE, Alexandria via LeMat-Bulk).

Fermi-level density of states = 0.0 states/eV/cell
formation energy from raw total energies = -285 kJ per mole of atoms
space group = P2_1/m, No. 11

Unit cell a=6.163 b=6.133 c=8.699 alpha=90.00 beta=106.50 gamma=90.00
Fractional positions:
1 Cs 0.145 0.250 0.143
2 Cs 0.855 0.750 0.857
3 Y 0.319 0.750 0.462
4 Y 0.681 0.250 0.538
5 Hf 0.217 0.250 0.648
6 Hf 0.783 0.750 0.352
7 O 0.001 0.750 0.559
8 O 0.014 0.750 0.234
9 O 0.443 0.020 0.643
10 O 0.443 0.480 0.643
11 O 0.557 0.520 0.357
12 O 0.557 0.980 0.357
13 O 0.986 0.250 0.766
14 O 0.999 0.250 0.441

(3)
# Sr2AgHg

A relaxed Sr2AgHg crystal (PBE, Alexandria via LeMat-Bulk).

energy of formation from the pure elements = -291 meV/atom
Fermi-level density of states = 3.4 states/eV/cell
space group = Pmm2, No. 25

Unit cell a=4.661 b=4.711 c=6.628 alpha=90.00 beta=90.00 gamma=90.00
Fractional positions:
1 Sr 0.000 0.000 0.000
2 Sr 0.500 0.500 0.492
3 Ag 0.500 0.500 0.991
4 Hg 0.000 0.000 0.501

(4)
# ReAgSb2

A relaxed ReAgSb2 crystal (PBE, Alexandria via LeMat-Bulk).

Fermi-level density of states = 1.2 states/eV/cell
formation energy from raw total energies = 34 kJ per mole of atoms
space group = P4/mmm, No. 123

Unit cell a=3.280 b=3.280 c=7.745 alpha=90.00 beta=90.00 gamma=90.00
Fractional positions:
1 Re 0.000 0.000 0.000
2 Ag 0.000 0.000 0.500
3 Sb 0.500 0.500 0.213
4 Sb 0.500 0.500 0.787